Compound: MoS2NO
Source: Alexandria
Functional: GGA+U
Structure: relaxed

Unit cell a=4.708 b=4.708 c=3.819 alpha=90.00 beta=90.00 gamma=90.00
Fractional coordinates of all 5 atoms:
Mo1 0.000 0.000 0.000
S1 0.000 0.500 0.000
S2 0.500 0.000 0.000
N1 0.000 0.000 0.500
O1 0.500 0.500 0.500

* SG: P4/mmm, No. 123
* E_tot: -23.01 eV/cell
* energy above the most stable polymorph in this dataset: 0.0 meV/atom
* magnetization: 0.001 μB per cell